# PBE-GGA Tc2NiTe, relaxed
# **Uncorrected energy**: -111.34 eV per cell
# **Energy relative to the elements, uncorrected**: 455 meV per atom
data_Tc2NiTe
_chemical_formula_sum 'Tc8 Ni4 Te4'
_symmetry_space_group_name_H-M 'F -4 3 m'
_symmetry_Int_Tables_number 216
_symmetry_space_group_name_Hall 'F -4 2 3'
_cell_length_a 6.2822
_cell_length_b 6.2822
_cell_length_c 6.2822
_cell_angle_alpha 90.00
_cell_angle_beta 90.00
_cell_angle_gamma 90.00
loop_
_atom_site_label
_atom_site_type_symbol
_atom_site_fract_x
_atom_site_fract_y
_atom_site_fract_z
_atom_site_occupancy
Tc1 Tc 0.0000 0.0000 0.0000 1
Tc2 Tc 0.2500 0.2500 0.2500 1
Ni1 Ni 0.0000 0.0000 0.5000 1
Te1 Te 0.2500 0.2500 0.7500 1



# PBE-GGA CaCoRh2, relaxed
# **Uncorrected energy**: -92.05 eV per cell
# **Energy of formation**: 0.200 eV per atom
# **Energy above the most stable polymorph in this dataset**: 0.181 eV per atom
data_CaCoRh2
_chemical_formula_sum 'Ca4 Co4 Rh8'
_symmetry_space_group_name_H-M 'F -4 3 m'
_symmetry_Int_Tables_number 216
_symmetry_space_group_name_Hall 'F -4 2 3'
_cell_length_a 6.3629
_cell_length_b 6.3629
_cell_length_c 6.3629
_cell_angle_alpha 90.00
_cell_angle_beta 90.00
_cell_angle_gamma 90.00
loop_
_atom_site_label
_atom_site_type_symbol
_atom_site_fract_x
_atom_site_fract_y
_atom_site_fract_z
_atom_site_occupancy
Ca1 Ca 0.0000 0.0000 0.0000 1
Co1 Co 0.2500 0.2500 0.2500 1
Rh1 Rh 0.0000 0.0000 0.5000 1
Rh2 Rh 0.2500 0.2500 0.7500 1



# PBE-GGA BaTiI2, relaxed
# **Uncorrected energy**: -55.53 eV per cell
# **Energy relative to the elements, uncorrected**: -241 meV per atom
# **Energy above the most stable polymorph in this dataset**: 0.119 eV per atom
data_BaTiI2
_chemical_formula_sum 'Ba4 Ti4 I8'
_symmetry_space_group_name_H-M 'F m -3 m'
_symmetry_Int_Tables_number 225
_symmetry_space_group_name_Hall '-F 4 2 3'
_cell_length_a 7.9597
_cell_length_b 7.9597
_cell_length_c 7.9597
_cell_angle_alpha 90.00
_cell_angle_beta 90.00
_cell_angle_gamma 90.00
loop_
_atom_site_label
_atom_site_type_symbol
_atom_site_fract_x
_atom_site_fract_y
_atom_site_fract_z
_atom_site_occupancy
Ba1 Ba 0.0000 0.0000 0.0000 1
Ti1 Ti 0.0000 0.0000 0.5000 1
I1 I 0.2500 0.2500 0.2500 1



# PBE-GGA U2SnP, relaxed
# **Uncorrected energy**: -99.62 eV per cell
# **Energy of formation**: -0.305 eV per atom
data_U2SnP
_chemical_formula_sum 'U6 Sn3 P3'
_symmetry_space_group_name_H-M 'R -3 m'
_symmetry_Int_Tables_number 166
_symmetry_space_group_name_Hall '-R 3 2"'
_cell_length_a 3.5905
_cell_length_b 3.5905
_cell_length_c 26.0145
_cell_angle_alpha 90.00
_cell_angle_beta 90.00
_cell_angle_gamma 120.00
loop_
_atom_site_label
_atom_site_type_symbol
_atom_site_fract_x
_atom_site_fract_y
_atom_site_fract_z
_atom_site_occupancy
U1 U 0.0000 0.0000 0.2347 1
Sn1 Sn 0.0000 0.0000 0.0000 1
P1 P 0.0000 0.0000 0.5000 1



# PBE-GGA Na5H, relaxed
# **Uncorrected energy**: -18.57 eV per cell
data_Na5H
_chemical_formula_sum 'Na10 H2'
_symmetry_space_group_name_H-M 'C m m m'
_symmetry_Int_Tables_number 65
_symmetry_space_group_name_Hall '-C 2 2'
_cell_length_a 3.5116
_cell_length_b 18.3497
_cell_length_c 6.0887
_cell_angle_alpha 90.00
_cell_angle_beta 90.00
_cell_angle_gamma 90.00
loop_
_atom_site_label
_atom_site_type_symbol
_atom_site_fract_x
_atom_site_fract_y
_atom_site_fract_z
_atom_site_occupancy
Na1 Na 0.0000 0.0000 0.0000 1
Na2 Na 0.0000 0.0906 0.5000 1
Na3 Na 0.0000 0.3308 0.0000 1
H1 H 0.0000 0.5000 0.5000 1



# PBE-GGA La5Y2Th2, relaxed
# **Uncorrected energy**: -51.16 eV per cell
# **Energy of formation**: 0.138 eV per atom
data_La5Y2Th2
_chemical_formula_sum 'La5 Y2 Th2'
_symmetry_space_group_name_H-M 'P -1'
_symmetry_Int_Tables_number 2
_cell_length_a 6.2858
_cell_length_b 6.3100
_cell_length_c 8.9374
_cell_angle_alpha 75.23
_cell_angle_beta 74.27
_cell_angle_gamma 69.37
loop_
_symmetry_equiv_pos_as_xyz
'x,y,z'
'-x,-y,-z'
loop_
_atom_site_label
_atom_site_type_symbol
_atom_site_fract_x
_atom_site_fract_y
_atom_site_fract_z
_atom_site_occupancy
La1 La 0.0000 0.0000 0.0000 1
La2 La 0.2200 0.6680 0.6988 1
La3 La 0.3396 0.7917 0.2941 1
Y1 Y 0.3281 0.3469 0.1025 1
Th1 Th 0.2175 0.2235 0.5279 1



Q: Among the records above, which one has the lowest uncorrected energy?
A: Tc2NiTe



What did the sixth record say?
# PBE-GGA La5Y2Th2, relaxed
# **Uncorrected energy**: -51.16 eV per cell
# **Energy of formation**: 0.138 eV per atom
data_La5Y2Th2
_chemical_formula_sum 'La5 Y2 Th2'
_symmetry_space_group_name_H-M 'P -1'
_symmetry_Int_Tables_number 2
_cell_length_a 6.2858
_cell_length_b 6.3100
_cell_length_c 8.9374
_cell_angle_alpha 75.23
_cell_angle_beta 74.27
_cell_angle_gamma 69.37
loop_
_symmetry_equiv_pos_as_xyz
'x,y,z'
'-x,-y,-z'
loop_
_atom_site_label
_atom_site_type_symbol
_atom_site_fract_x
_atom_site_fract_y
_atom_site_fract_z
_atom_site_occupancy
La1 La 0.0000 0.0000 0.0000 1
La2 La 0.2200 0.6680 0.6988 1
La3 La 0.3396 0.7917 0.2941 1
Y1 Y 0.3281 0.3469 0.1025 1
Th1 Th 0.2175 0.2235 0.5279 1



Q: uncorrected energy of number 5 (Na5H)?
A: -18.57 eV per cell



Q: Number 4 is which compound?
A: U2SnP